# 1
This record from Alexandria describes a PBEsol-optimized structure of Mg2AlIr2. The functional is meta-GGA SCAN.

Cell and atoms, written as POSCAR:
```
Mg2AlIr2
1.0
-0.464 0.759 -4.102
1.091 -6.079 -1.247
-6.167 -1.204 0.474
Mg Ir Al
4 4 2
Cartesian
-4.155 -1.428 -1.942
-4.652 -4.671 -2.485
-1.384 -5.097 -2.933
-0.887 -1.854 -2.390
-4.913 -3.227 -0.041
-3.006 -6.001 -0.770
-0.163 -4.056 -0.732
-2.070 -1.283 -0.003
0.000 0.000 0.000
-2.538 -3.642 -0.387
```

Results
DFT formation energy: -3.4 eV per formula unit
Magnetic moment: 0.00 μB/atom
Electronic total energy: -32.6564 eV per atom

# 2
This record from Alexandria describes a PBEsol-optimized structure of CoMo4Cl. The functional is meta-GGA SCAN.

Cell and atoms, written as POSCAR:
```
CoMo4Cl
1.0
-3.999 3.158 -0.604
-4.176 -0.558 2.931
-1.086 3.484 3.608
Cl Co Mo
1 1 4
Cartesian
-6.946 4.563 4.451
0.000 0.000 0.000
-3.474 2.283 2.226
-4.017 4.022 4.028
-5.472 3.860 1.925
-5.560 2.004 3.690
```

Results
Raw formation energy: 1.09 eV/atom
Magnetic moment: 0.20 μB/atom
Electronic total energy: -26.3806 eV per atom

# 3
This record from Alexandria describes a PBEsol-optimized structure of BeCuCl2. The functional is meta-GGA SCAN.

Cell and atoms, written as POSCAR:
```
BeCuCl2
1.0
5.914 0.000 0.000
-2.957 5.257 -0.055
0.000 3.377 4.855
Be Cu Cl
2 2 4
Cartesian
0.000 3.473 1.186
2.957 1.688 2.427
2.957 5.161 3.613
0.000 0.000 0.000
0.881 5.209 1.779
-0.881 6.897 4.207
4.435 3.084 2.530
1.478 2.077 1.083
```

Results
Raw formation energy: -0.22 eV/atom
Magnetic moment: 0.00 μB/atom
Electronic total energy: -9.0981 eV per atom

# 4
This record from Alexandria describes a PBEsol-optimized structure of Sr3CaH. The functional is meta-GGA SCAN.

Cell and atoms, written as POSCAR:
```
Sr3CaH
1.0
-1.966 3.787 3.716
-5.286 -1.743 -1.020
0.462 -3.826 4.143
Sr Ca H
3 1 1
Cartesian
-2.643 -0.872 -0.510
0.231 -1.913 2.072
-0.983 1.894 1.858
-3.395 -0.891 3.420
0.000 0.000 0.000
```

Results
Magnetic moment: 0.02 μB/atom
Electronic total energy: -16.1028 eV per atom

# 5
This record from Alexandria describes a PBEsol-optimized structure of ReSbCl2. The functional is meta-GGA SCAN.

Cell and atoms, written as POSCAR:
```
ReSbCl2
1.0
-0.028 1.383 2.645
0.737 -1.497 2.475
10.903 2.880 0.295
Re Cl Sb
1 2 1
Cartesian
0.000 0.000 0.000
2.822 0.465 4.841
8.789 2.302 0.575
5.806 1.383 2.708
```

Results
Raw formation energy: 0.26 eV/atom
Magnetic moment: 0.00 μB/atom
Electronic total energy: -30.8204 eV per atom

# 6
This record from Alexandria describes a PBEsol-optimized structure of K3GaOs. The functional is meta-GGA SCAN.

Cell and atoms, written as POSCAR:
```
K3GaOs
1.0
-5.321 2.887 0.997
-3.046 -4.866 -2.166
-0.228 -2.373 5.654
K Os Ga
3 1 1
Cartesian
-1.523 -2.433 -1.083
-0.114 -1.187 2.827
-2.661 1.444 0.499
-4.298 -2.176 2.243
0.000 0.000 0.000
```

Results
DFT formation energy: 7.9 eV per formula unit
Magnetic moment: 0.72 μB/atom
Electronic total energy: -21.0697 eV per atom

# 7
This record from Alexandria describes a PBEsol-optimized structure of Na2Si2Ru. The functional is meta-GGA SCAN.

Cell and atoms, written as POSCAR:
```
Na2Si2Ru
1.0
-3.945 -0.542 -3.068
1.124 -5.989 -0.389
-3.613 -0.991 4.821
Ru Si Na
2 4 4
Cartesian
0.000 0.000 0.000
-1.244 -3.490 2.216
-2.696 -2.992 3.996
-1.357 -5.773 2.764
0.208 -3.988 0.437
-1.132 -1.207 1.669
-4.233 -2.041 1.686
-4.158 -5.169 2.142
-2.200 -5.481 -0.321
-2.275 -2.353 -0.777
```

Results
Raw formation energy: 0.07 eV/atom
Magnetic moment: 0.00 μB/atom
Electronic total energy: -12.5914 eV per atom

# 8
This record from Alexandria describes a PBEsol-optimized structure of BePRu2. The functional is meta-GGA SCAN.

Cell and atoms, written as POSCAR:
```
BePRu2
1.0
-1.441 -1.886 1.199
0.875 -0.511 -2.458
6.629 -3.147 3.016
Ru Be P
2 1 1
Cartesian
0.112 -0.053 0.051
4.544 -3.490 1.566
3.319 -1.575 1.510
1.403 -1.999 0.138
```

Results
DFT formation energy: 1.3 eV per formula unit
Magnetic moment: 0.00 μB/atom
Electronic total energy: -20.7819 eV per atom

# 9
This record from Alexandria describes a PBEsol-optimized structure of Fe2Co. The functional is meta-GGA SCAN.

Cell and atoms, written as POSCAR:
```
Fe2Co
1.0
2.424 0.001 0.000
0.816 4.558 0.004
0.798 1.139 5.930
Co Fe
2 4
Cartesian
2.836 3.991 4.943
1.203 1.707 0.990
2.019 2.849 2.967
1.209 1.714 4.948
0.399 0.569 2.965
2.830 3.984 0.985
```

Results
DFT formation energy: -0.4 eV per formula unit
Magnetic moment: 2.37 μB/atom
Electronic total energy: -17.9819 eV per atom

# 10
This record from Alexandria describes a PBEsol-optimized structure of RbAsAu3. The functional is meta-GGA SCAN.

Cell and atoms, written as POSCAR:
```
RbAsAu3
1.0
-1.545 3.405 -3.348
0.782 -3.291 -3.708
-4.711 -1.662 0.482
As Au Rb
1 3 1
Cartesian
0.000 0.000 0.000
0.391 -1.645 -1.854
-2.355 -0.831 0.241
-0.772 1.703 -1.674
-2.737 -0.774 -3.287
```

Results
DFT formation energy: -1.0 eV per formula unit
Magnetic moment: 0.00 μB/atom
Electronic total energy: -49.8887 eV per atom

# 11
This record from Alexandria describes a PBEsol-optimized structure of Li2PtBr. The functional is meta-GGA SCAN.

Cell and atoms, written as POSCAR:
```
Li2PtBr
1.0
-1.971 -2.676 1.509
1.685 -2.440 -2.128
3.461 1.974 3.606
Pt Br Li
1 1 2
Cartesian
-0.143 -2.558 -0.309
2.501 -1.512 0.584
0.000 0.000 0.000
0.674 -1.630 2.403
```

Results
Raw formation energy: -0.43 eV/atom
Magnetic moment: 0.00 μB/atom
Electronic total energy: -24.0390 eV per atom

# 12
This record from Alexandria describes a PBEsol-optimized structure of LiMn2O3F. The functional is meta-GGA SCAN.

Cell and atoms, written as POSCAR:
```
LiMn2O3F
1.0
5.902 0.000 0.000
2.951 7.138 -0.071
2.951 2.225 6.782
Li Mn O F
4 8 12 4
Cartesian
5.902 7.706 6.556
5.902 0.679 1.520
5.902 3.998 1.743
5.902 6.428 3.485
5.902 7.024 0.087
8.852 6.964 5.108
2.951 2.289 1.757
4.381 2.310 4.269
7.422 2.310 4.269
4.381 4.578 5.894
7.422 4.578 5.894
2.951 4.796 3.195
7.586 8.282 5.709
1.685 1.296 0.702
10.118 8.282 5.709
4.217 1.296 0.702
5.902 3.482 5.028
8.852 5.615 6.685
2.951 1.229 3.541
2.951 3.378 5.174
7.580 3.416 2.676
7.580 5.731 4.336
4.223 3.416 2.676
4.223 5.731 4.336
2.951 5.983 1.539
5.902 1.238 3.317
5.902 5.824 6.604
5.902 5.852 1.722
```

Results
Raw formation energy: -2.35 eV/atom
Magnetic moment: 1.14 μB/atom
Electronic total energy: -11.0847 eV per atom